! HoPuAlCd, relaxed, DFT PBE; values from VASP
! Formation energy from the elements (kJ per mole of atoms): -15
! DOS at the Fermi energy (states/eV/f.u.): 7.73
! Total moment (μB/atom): 1.536
! Symmetry: No. 216
! Energy (eV per atom): -6.042
! Crystal system: cubic
&SYSTEM
  ibrav = 0, nat = 4, ntyp = 4
/
ATOMIC_SPECIES
Pu 244.00 Pu.upf
Al 26.98 Al.upf
Ho 164.93 Ho.upf
Cd 112.41 Cd.upf
CELL_PARAMETERS angstrom
-4.791 2.005 -0.465
-3.499 -0.698 3.802
-1.443 4.023 2.986
ATOMIC_POSITIONS crystal
Pu 0.500 0.500 0.500
Al 0.250 0.250 0.250
Ho 0.000 0.000 0.000
Cd 0.750 0.750 0.750